Record 1
Compound: La2OsCCl
Source: Alexandria
Functional: PBEsol
Structure: relaxed

Unit cell a=3.6663 b=5.3071 c=5.3071 alpha=90.00 beta=90.00 gamma=90.00
With the nearest neighbours (Å) after each atom.
Fractional coordinates of all 5 atoms:
1 C 0.5000 0.0000 0.0000  2 Cl 1.83
2 La 0.0000 0.0000 0.5000  2 Cl 2.65
3 La 0.0000 0.5000 0.0000  2 Cl 2.65
4 Cl 0.0000 0.0000 0.0000  2 C 1.83
5 Os 0.5000 0.5000 0.5000  8 La 3.23

Properties
**Symmetry**: P4/mmm, No. 123
**VASP energy**: -30.7 eV per cell
**Mass density**: 8.3 g/cm³
**DOS(E_F)**: 3.16 states/eV per cell

Record 2
Compound: La2YCCl
Source: Alexandria
Functional: PBEsol
Structure: relaxed

Unit cell a=4.2789 b=5.7596 c=5.7596 alpha=90.00 beta=90.00 gamma=90.00
With the nearest neighbours (Å) after each atom.
Fractional coordinates of all 5 atoms:
1 Y 0.0000 0.0000 0.0000  2 C 2.14
2 C 0.5000 0.0000 0.0000  2 Y 2.14
3 Cl 0.5000 0.5000 0.5000  8 La 3.59
4 La 0.0000 0.0000 0.5000  2 Y 2.88
5 La 0.0000 0.5000 0.0000  2 Y 2.88

Properties
**Symmetry**: P4/mmm, No. 123
**VASP energy**: -26.1 eV per cell
**Mass density**: 4.8 g/cm³
**DOS(E_F)**: 4.51 states/eV per cell

Record 3
Compound: LiCSCl2
Source: Alexandria
Functional: PBEsol
Structure: relaxed

Unit cell a=3.5325 b=5.0509 c=5.0509 alpha=90.00 beta=90.00 gamma=90.00
With the nearest neighbours (Å) after each atom.
Fractional coordinates of all 5 atoms:
1 Cl 0.0000 0.0000 0.5000  2 C 2.53
2 Cl 0.0000 0.5000 0.0000  2 C 2.53
3 Li 0.5000 0.5000 0.5000  8 Cl 3.08
4 S 0.5000 0.0000 0.0000  2 C 1.77
5 C 0.0000 0.0000 0.0000  2 S 1.77

Properties
**Symmetry**: P4/mmm, No. 123
**VASP energy**: -18.3 eV per cell
**Mass density**: 2.2 g/cm³
**DOS(E_F)**: 2.05 states/eV per cell